Material: Cs4Dy3PaSe8
Method: DFT, PBE
State: relaxed

Cell lengths 8.5350, 8.5350, 25.2001 Å; angles 90.00, 90.00, 120.00 degrees
Space group R-3m (No. 166, hexagonal axes)
Inequivalent atoms, fractional coordinates:
Cs1 0.0000 0.0000 0.0000 (multiplicity 3)
Cs2 0.0000 0.5000 0.0000 (multiplicity 9)
Dy1 0.0000 0.5000 0.5000 (multiplicity 9)
Pa1 0.0000 0.0000 0.5000 (multiplicity 3)
Se1 0.0000 0.0000 0.2284 (multiplicity 6)
Se2 0.9997 0.4999 0.2289 (multiplicity 18)

Computed properties:
Uncorrected formation energy, eV per atom: -1.602
Size of the total moment, μB/cell: 5.2
Volume, Å³/atom: 33.12